Here is a geometry-optimized Ca2BeTe structure from Alexandria. Energies are from GGA-PBEsol.

Values from the calculation:
Raw total energy = -3.23 eV/atom
Total magnetization = 0.1700 μB per atom
Distance to the lowest polymorph of the same formula = 0.20 eV per formula unit
Energy relative to the elements, uncorrected = -285 meV/atom

abc: 4.3437 4.3437 6.1857
angles: 90.00 90.00 90.00
Space group P4/mmm (No. 123)
One atom of each set of equivalent atoms:
Ca  0.0000  0.0000  0.0000
Ca  0.5000  0.5000  0.5000
Be  0.0000  0.0000  0.5000
Te  0.5000  0.5000  0.0000


Here is a geometry-optimized CaBeTe2 structure from Alexandria. Energies are from GGA-PBEsol.

Values from the calculation:
Raw total energy = -3.74 eV/atom
Total magnetization = 0.0000 μB per atom
Energy relative to the elements, uncorrected = -448 meV/atom

abc: 3.6828 4.0141 13.7693
angles: 90.00 90.00 90.00
Space group Imm2 (No. 44)
One atom of each set of equivalent atoms:
Ca  0.0000  0.0000  0.0000
Be  0.0000  0.5000  0.2466
Te  0.0000  0.0000  0.6132
Te  0.0000  0.5000  0.8285


Here is a geometry-optimized CaBe2Te structure from Alexandria. Energies are from GGA-PBEsol.

Values from the calculation:
Raw total energy = -3.48 eV/atom
Total magnetization = 0.0000 μB per atom
Energy relative to the elements, uncorrected = -68 meV/atom

abc: 7.4034 3.8004 5.8960
angles: 90.00 105.71 90.00
Space group Cm (No. 8)
One atom of each set of equivalent atoms:
Ca  0.0000  0.0000  0.0000
Be  0.0860  0.5000  0.6780
Be  0.2808  0.0000  0.6713
Te  0.2700  0.5000  0.3934


Here is a geometry-optimized CaBeTe2 structure from Alexandria. Energies are from GGA-PBEsol.

Values from the calculation:
Raw total energy = -3.96 eV/atom
Total magnetization = 0.0000 μB per atom
Energy relative to the elements, uncorrected = -661 meV/atom

abc: 4.0437 4.0437 20.9295
angles: 90.00 90.00 120.00
Space group R-3m (No. 166, hexagonal axes)
One atom of each set of equivalent atoms:
Ca  0.0000  0.0000  0.0000
Be  0.0000  0.0000  0.5000
Te  0.0000  0.0000  0.2346


Here is a geometry-optimized CaBeTe2 structure from Alexandria. Energies are from GGA-PBEsol.

Values from the calculation:
Raw total energy = -3.94 eV/atom
Total magnetization = 0.0001 μB per atom
Energy relative to the elements, uncorrected = -646 meV/atom

abc: 4.0036 4.0036 21.2534
angles: 90.00 90.00 120.00
Space group R3m (No. 160, hexagonal axes)
One atom of each set of equivalent atoms:
Ca  0.0000  0.0000  0.0000
Be  0.0000  0.0000  0.8333
Te  0.0000  0.0000  0.2359
Te  0.0000  0.0000  0.4352


Here is a geometry-optimized Ca2BeTe structure from Alexandria. Energies are from GGA-PBEsol.

Values from the calculation:
Raw total energy = -3.28 eV/atom
Total magnetization = 0.0001 μB per atom
Distance to the lowest polymorph of the same formula = 0.00 eV per formula unit
Energy relative to the elements, uncorrected = -334 meV/atom

abc: 3.7777 4.7251 11.1797
angles: 90.00 90.00 90.00
Space group Imm2 (No. 44)
One atom of each set of equivalent atoms:
Ca  0.0000  0.0000  0.0000
Ca  0.0000  0.5000  0.2211
Be  0.0000  0.5000  0.7621
Te  0.0000  0.0000  0.4211


Here is a geometry-optimized CaBeTe2 structure from Alexandria. Energies are from GGA-PBEsol.

Values from the calculation:
Raw total energy = -4.06 eV/atom
Total magnetization = 0.0000 μB per atom
Energy relative to the elements, uncorrected = -767 meV/atom

abc: 12.4892 4.0099 4.5515
angles: 90.00 93.34 90.00
Space group Cm (No. 8)
One atom of each set of equivalent atoms:
Ca  0.0000  0.0000  0.0000
Be  0.2231  0.5000  0.7780
Te  0.0590  0.5000  0.5098
Te  0.2887  0.0000  0.0064


Here is a geometry-optimized CaTiBe3 structure from Alexandria. Energies are from GGA-PBEsol.

Values from the calculation:
Raw total energy = -2.55 eV/atom
Total magnetization = 0.0001 μB per atom
E_form = 1937 meV per atom

abc: 4.4023 4.4023 4.4023
angles: 90.00 90.00 90.00
Space group Pm-3m (No. 221)
One atom of each set of equivalent atoms:
Ca  0.0000  0.0000  0.0000
Ti  0.5000  0.5000  0.5000
Be  0.0000  0.0000  0.5000


Here is a geometry-optimized CaBe2Tl structure from Alexandria. Energies are from GGA-PBEsol.

Values from the calculation:
Raw total energy = -2.72 eV/atom
Total magnetization = 0.0001 μB per atom
E_form = 475 meV per atom
Distance to the lowest polymorph of the same formula = 0.56 eV per formula unit

abc: 3.4495 3.4495 6.4454
angles: 90.00 90.00 90.00
Space group P4/mmm (No. 123)
One atom of each set of equivalent atoms:
Ca  0.0000  0.0000  0.0000
Be  0.5000  0.5000  0.3085
Tl  0.0000  0.0000  0.5000


Here is a geometry-optimized CaBe2Tl structure from Alexandria. Energies are from GGA-PBEsol.

Values from the calculation:
Raw total energy = -2.86 eV/atom
Total magnetization = 0.0000 μB per atom
E_form = 334 meV per atom
Distance to the lowest polymorph of the same formula = 0.00 eV per formula unit

abc: 6.4497 6.4497 6.4497
angles: 90.00 90.00 90.00
Space group Fm-3m (No. 225)
One atom of each set of equivalent atoms:
Ca  0.0000  0.0000  0.0000
Be  0.2500  0.2500  0.2500
Tl  0.0000  0.0000  0.5000